Density functional theory data (PBE) for crystalline PdPtAu6 at its relaxed geometry.

CIF file:
```
data_PdPtAu6
_cell_length_a 4.105
_cell_length_b 4.105
_cell_length_c 8.228
_cell_angle_alpha 90.00
_cell_angle_beta 90.00
_cell_angle_gamma 90.00
_space_group_name_H-M_alt 'P 1'
_space_group_IT_number 1
_space_group_name_Hall 'P 1'
loop_
_atom_site_label
_atom_site_fract_x
_atom_site_fract_y
_atom_site_fract_z
Au1 0.500 0.500 0.000
Pt1 0.000 0.000 0.500
Au2 0.000 0.500 0.249
Au3 0.500 0.000 0.751
Au4 0.000 0.500 0.751
Au5 0.500 0.000 0.249
Au6 0.500 0.500 0.500
Pd1 0.000 0.000 0.000
```

Values from the calculation:
The calculated total energy is -3.88 eV per atom. For the density of states at the Fermi level, the calculation gives 2.9 states/eV per cell.